[1]
Computed, not measured: MgWBr at its PBEsol-relaxed geometry at the meta-GGA SCAN level of DFT.

## Properties
Its density is 8.51 g cm⁻³. The value obtained for the final energy is -30.626 eV per atom. As for the raw formation energy: 0.748 eV per atom.

Cell and atoms, written as extended XYZ:
```
3
Lattice="-2.085 -1.852 1.280 0.889 -2.683 1.244 -0.104 2.175 6.659" Properties=species:S:1:pos:R:3 pbc="T T T"
Mg -1.465 0.196 5.255
Br -2.073 -1.813 1.356
W -0.736 0.087 2.607
```

=====

[2]
Computed, not measured: Y6Nb4Al43 at its PBEsol-relaxed geometry at the meta-GGA SCAN level of DFT.

## Properties
Its density is 3.67 g cm⁻³. The calculation puts the energy of formation at -0.364 eV/atom. The value obtained for the final energy is -12.305 eV per atom.

Cell and atoms, written as extended XYZ:
```
106
Lattice="11.027 0.000 0.000 -5.514 9.550 0.000 0.000 0.000 17.755" Properties=species:S:1:pos:R:3 pbc="T T T"
Al 3.485 1.513 2.887
Al -0.877 1.520 10.924
Al 5.082 5.775 2.887
Al 4.103 7.107 0.524
Al -4.636 8.030 6.832
Al 3.485 1.513 5.991
Al 1.406 5.301 4.439
Al 0.000 6.367 2.221
Al 2.029 8.037 14.869
Al 5.734 1.433 4.439
Al -2.461 7.288 14.869
Al 1.411 2.443 9.402
Al -2.461 7.288 11.764
Al -1.422 7.188 8.878
Al 4.103 7.107 8.353
Al 5.514 4.826 0.000
Al 6.936 2.362 8.878
Al 1.626 5.682 13.317
Al 0.432 3.775 11.764
Al 7.542 1.513 14.869
Al 8.206 0.000 9.402
Al 7.974 2.262 2.887
Al -1.626 5.682 4.439
Al -0.821 1.421 4.439
Al 3.053 2.262 14.869
Al 1.422 7.188 8.878
Al 5.946 5.775 14.869
Al -0.877 1.520 15.709
Al -2.029 8.037 2.887
Al 6.936 2.362 0.000
Al 0.000 6.367 6.656
Al 9.386 0.000 13.317
Al -0.432 3.775 2.887
Al 1.755 0.000 15.709
Al 9.273 0.000 2.046
Al -0.432 3.775 5.991
Al 0.000 6.367 11.099
Al 1.641 0.000 4.439
Al 0.877 1.520 6.832
Al 7.140 3.868 13.317
Al 0.000 4.724 8.878
Al 2.821 0.000 0.524
Al 4.091 2.362 0.000
Al 0.821 1.421 13.317
Al 0.432 3.775 14.869
Al 8.206 0.000 17.231
Al -4.693 8.129 13.317
Al 6.920 4.249 4.439
Al -2.029 8.037 5.991
Al 3.888 3.868 4.439
Al 4.091 2.362 8.878
Al 5.514 3.183 15.534
Al -4.636 8.030 2.046
Al -4.103 7.107 17.231
Al 2.461 7.288 5.991
Al 5.514 4.826 8.878
Al -1.422 7.188 0.000
Al 7.974 2.262 5.991
Al 2.821 0.000 8.353
Al -1.411 2.443 8.353
Al -0.220 8.117 13.317
Al -4.103 7.107 9.402
Al 4.108 4.249 13.317
Al -1.411 2.443 0.524
Al 5.514 3.183 6.656
Al 1.411 2.443 17.231
Al 3.053 2.262 11.764
Al 2.029 8.037 11.764
Al 9.273 0.000 6.832
Al 5.514 3.183 11.099
Al 4.693 8.129 4.439
Al 7.542 1.513 11.764
Al 2.461 7.288 2.887
Al 0.000 6.367 15.534
Al 1.422 7.188 0.000
Al -1.406 5.301 13.317
Al 5.514 3.183 2.221
Al 5.946 5.775 11.764
Al 0.877 1.520 2.046
Al 4.636 8.030 10.924
Al 1.755 0.000 10.924
Al 5.082 5.775 5.991
Al 0.000 4.724 0.000
Al 5.294 1.433 13.317
Al 4.636 8.030 15.709
Al 0.220 8.117 4.439
Y 5.183 0.000 10.581
Y 5.183 0.000 16.052
Y 2.591 4.488 7.174
Y -2.922 5.062 7.174
Y 2.922 5.062 16.052
Y 5.845 0.000 1.704
Y 2.591 4.488 1.704
Y 2.922 5.062 10.581
Y 5.845 0.000 7.174
Y -2.591 4.488 10.581
Y -2.591 4.488 16.052
Y -2.922 5.062 1.704
Nb -4.010 6.945 4.439
Nb 1.504 2.605 4.439
Nb -1.504 2.605 13.317
Nb 0.000 0.000 8.878
Nb 4.010 6.945 13.317
Nb 3.008 0.000 13.317
Nb 8.019 0.000 4.439
Nb 0.000 0.000 0.000
```

=====

[3]
Computed, not measured: SiPPb2 at its PBEsol-relaxed geometry at the meta-GGA SCAN level of DFT.

## Properties
Its density is 8.40 g cm⁻³. The value obtained for the final energy is -42.732 eV per atom. As for the energy relative to the lowest polymorph listed for this composition: 0 kJ/mol of formula units. As for the raw formation energy: 0.262 eV per atom.

Cell and atoms, written as extended XYZ:
```
4
Lattice="-1.049 -3.118 -0.953 3.652 -0.998 -0.754 -1.075 -1.786 7.031" Properties=species:S:1:pos:R:3 pbc="T T T"
P -0.198 -3.174 4.450
Si 0.159 -1.121 3.493
Pb 1.290 -2.668 1.155
Pb 2.318 -2.618 6.017
```